[1]
Density functional theory data (PBE) for a relaxed structure of FeIrRu2.

Summary:
The space group is P4/mmm (123). As for the crystal system: tetragonal. As for the excess energy over the best structure of this formula in the dataset: 0.323 eV/atom.

The structure in extended XYZ format:
```
4
Lattice="4.518 0.000 0.000 0.000 4.518 0.000 0.000 0.000 2.766" Properties=species:S:1:pos:R:3 pbc="T T T"
Fe 0.000 0.000 0.000
Ir 2.259 2.259 0.000
Ru 0.000 2.259 1.383
Ru 2.259 0.000 1.383
```

[2]
Density functional theory data (PBE) for a relaxed structure of Nd2Al4Cu3Ag.

Summary:
The space group is P-4m2 (115). As for the crystal system: tetragonal. The calculated total energy comes out at -0.3200 Ry/atom.

The structure in extended XYZ format:
```
10
Lattice="4.271 0.000 0.000 0.000 4.271 0.000 0.000 0.000 10.361" Properties=species:S:1:pos:R:3 pbc="T T T"
Nd 0.000 2.135 2.551
Nd 2.135 0.000 7.810
Al 0.000 0.000 0.000
Al 0.000 2.135 6.622
Al 2.135 0.000 3.739
Al 2.135 2.135 0.000
Cu 0.000 2.135 9.050
Cu 2.135 0.000 1.310
Cu 2.135 2.135 5.180
Ag 0.000 0.000 5.180
```

[3]
Density functional theory data (PBE) for a relaxed structure of Ta4BeSi.

Summary:
The value obtained for the raw formation energy is 0.800 eV per atom. The space group is F-43m (216). As for the crystal system: cubic. As for the excess energy over the best structure of this formula in the dataset: 1.217 eV/atom.

The structure in extended XYZ format:
```
6
Lattice="0.000 3.811 3.811 3.811 0.000 3.811 3.811 3.811 0.000" Properties=species:S:1:pos:R:3 pbc="T T T"
Ta 0.948 0.948 0.948
Ta 2.863 2.863 0.948
Ta 2.863 0.948 2.863
Ta 0.948 2.863 2.863
Be 5.717 5.717 5.717
Si 3.811 3.811 3.811
```

[4]
Density functional theory data (PBE) for a relaxed structure of Hg4PtPb10.

Summary:
The space group is C2/m (12). As for the crystal system: monoclinic. The calculated total energy comes out at -0.2143 Ry/atom.

The structure in extended XYZ format:
```
15
Lattice="7.509 -3.757 0.000 7.509 3.757 0.000 -6.846 0.000 8.325" Properties=species:S:1:pos:R:3 pbc="T T T"
Hg -1.250 0.000 3.260
Hg 3.029 0.000 1.633
Hg 5.144 0.000 6.692
Hg 9.423 0.000 5.065
Pt 7.509 0.000 0.000
Pb -0.232 1.605 5.905
Pb 5.422 1.889 0.783
Pb 4.087 1.657 4.162
Pb 2.752 1.889 7.542
Pb 8.406 1.605 2.420
Pb -0.232 -1.605 5.905
Pb 5.422 -1.889 0.783
Pb 4.087 -1.657 4.162
Pb 2.752 -1.889 7.542
Pb 8.406 -1.605 2.420
```

The records above give, respectively, magnetization values of 4.35; 0.00; 0.00; 0.00 Bohr magnetons per cell.